No. 1
## NdSiOs (PBE-GGA)

Data for crystalline NdSiOs at its relaxed geometry.

CIF file:
```
data_NdSiOs
_symmetry_space_group_name_H-M 'P -6 m 2'
_symmetry_Int_Tables_number 187
_symmetry_space_group_name_Hall 'P -6 2'
_cell_length_a 4.1287
_cell_length_b 4.1287
_cell_length_c 4.3078
_cell_angle_alpha 90.00
_cell_angle_beta 90.00
_cell_angle_gamma 120.00
loop_
_atom_site_label
_atom_site_type_symbol
_atom_site_fract_x
_atom_site_fract_y
_atom_site_fract_z
Nd1 Nd 0.0000 0.0000 0.0000
Si1 Si 0.3333 0.6667 0.5000
Os1 Os 0.6667 0.3333 0.5000
```

Output
crystal system: hexagonal
total energy: -7.583 eV per atom

***

No. 2
## Np2AlSi3Ni4 (PBE-GGA)

Data for crystalline Np2AlSi3Ni4 at its relaxed geometry.

CIF file:
```
data_Np2AlSi3Ni4
_symmetry_space_group_name_H-M 'P -4 m 2'
_symmetry_Int_Tables_number 115
_symmetry_space_group_name_Hall 'P -4 -2'
_cell_length_a 3.9608
_cell_length_b 3.9608
_cell_length_c 9.7042
_cell_angle_alpha 90.00
_cell_angle_beta 90.00
_cell_angle_gamma 90.00
loop_
_atom_site_label
_atom_site_type_symbol
_atom_site_fract_x
_atom_site_fract_y
_atom_site_fract_z
Np1 Np 0.0000 0.5000 0.2450
Al1 Al 0.0000 0.0000 0.5000
Si1 Si 0.0000 0.5000 0.8723
Si2 Si 0.5000 0.5000 0.5000
Ni1 Ni 0.0000 0.0000 0.0000
Ni2 Ni 0.0000 0.5000 0.6355
Ni3 Ni 0.5000 0.5000 0.0000
```

Output
crystal system: tetragonal
total energy: -7.398 eV per atom

***

No. 3
## LaYIr (PBE-GGA)

Data for crystalline LaYIr at its relaxed geometry.

CIF file:
```
data_LaYIr
_symmetry_space_group_name_H-M 'R -3'
_symmetry_Int_Tables_number 148
_symmetry_space_group_name_Hall '-R 3'
_cell_length_a 15.7267
_cell_length_b 15.7267
_cell_length_c 7.2664
_cell_angle_alpha 90.00
_cell_angle_beta 90.00
_cell_angle_gamma 120.00
loop_
_atom_site_label
_atom_site_type_symbol
_atom_site_fract_x
_atom_site_fract_y
_atom_site_fract_z
La1 La 0.0224 0.1704 0.2941
Y1 Y 0.0304 0.2717 0.7881
Ir1 Ir 0.0172 0.5398 0.2014
```

Output
crystal system: trigonal
ΔE to the lowest computed polymorph: 58.7 meV per atom